Record 1
Density functional theory data (meta-GGA SCAN) for a crystal of Be12W relaxed with PBEsol.

The structure in POSCAR format:
```
Be12W
1.0
-2.298 -0.786 3.414
-0.185 -5.346 1.215
2.979 0.122 4.604
Be W
12 1
Cartesian
-0.093 -2.673 0.608
-1.242 -3.066 2.315
0.340 -0.332 4.009
1.489 0.061 2.302
1.007 -3.666 4.976
-0.511 -2.343 4.258
0.925 -3.427 2.405
1.868 -1.796 3.415
-0.077 -1.328 2.214
0.572 -4.682 7.020
1.163 -1.422 5.598
-0.668 -4.587 3.636
0.000 0.000 0.000
```

Computed properties:
The value obtained for the electronic total energy is -122.906 eV for the cell shown. The formation energy is -0.07 eV per atom. As for the total magnetization: 0.1 μB per cell.

=====

Record 2
Density functional theory data (meta-GGA SCAN) for a crystal of MgCdW2 relaxed with PBEsol.

The structure in POSCAR format:
```
MgCdW2
1.0
2.719 0.000 0.000
0.000 2.719 0.000
0.000 0.000 9.171
Cd Mg W
1 1 2
Cartesian
1.359 1.359 0.000
1.359 1.359 4.585
0.000 0.000 6.858
0.000 0.000 2.313
```

Computed properties:
The value obtained for the electronic total energy is -172.375 eV for the cell shown. The formation energy is 0.60 eV per atom. As for the total magnetization: 0.0 μB per cell.

=====

Record 3
Density functional theory data (meta-GGA SCAN) for a crystal of Li3Sc relaxed with PBEsol.

The structure in POSCAR format:
```
Li3Sc
1.0
3.094 0.000 0.000
1.547 2.679 0.000
1.547 0.893 10.163
Sc Li
1 3
Cartesian
0.000 0.000 0.000
4.640 2.679 7.565
3.094 1.786 5.082
1.547 0.893 2.598
```

Computed properties:
The value obtained for the electronic total energy is -20.964 eV for the cell shown. The formation energy is 0.11 eV per atom. As for the total magnetization: 0.3 μB per cell.

=====

Record 4
Density functional theory data (meta-GGA SCAN) for a crystal of SiTcNi3 relaxed with PBEsol.

The structure in POSCAR format:
```
SiTcNi3
1.0
-3.289 2.872 -0.215
-2.625 -3.123 -1.572
-1.186 -1.054 4.074
Ni Si Tc
3 1 1
Cartesian
-1.312 -1.562 -0.786
-0.593 -0.527 2.037
-1.645 1.436 -0.107
-3.550 -0.652 1.144
0.000 0.000 0.000
```

Computed properties:
The value obtained for the electronic total energy is -85.613 eV for the cell shown. The formation energy (no corrections) comes out at 1.596 eV/atom. As for the total magnetization: 0.0 μB per cell.

=====

Record 5
Density functional theory data (meta-GGA SCAN) for a crystal of LiAgP2 relaxed with PBEsol.

The structure in POSCAR format:
```
LiAgP2
1.0
-1.197 -4.137 -1.044
3.092 -3.119 -0.591
0.459 -3.256 2.971
P Ag Li
2 1 1
Cartesian
0.589 -2.628 0.334
1.766 -7.884 1.002
0.000 0.000 0.000
1.177 -5.256 0.668
```

Computed properties:
The value obtained for the electronic total energy is -53.645 eV for the cell shown. The formation energy is 0.23 eV per atom. As for the total magnetization: 0.0 μB per cell.

=====

Record 6
Density functional theory data (meta-GGA SCAN) for a crystal of YPSe2 relaxed with PBEsol.

The structure in POSCAR format:
```
YPSe2
1.0
3.754 0.000 0.000
0.000 4.534 -0.029
-1.877 -0.142 5.061
P Se Y
1 2 1
Cartesian
0.000 2.267 -0.014
0.000 0.952 2.021
1.877 3.441 3.011
1.877 0.000 0.000
```

Computed properties:
The value obtained for the electronic total energy is -81.559 eV for the cell shown. The formation energy (no corrections) comes out at -0.790 eV/atom. As for the total magnetization: 0.0 μB per cell.

=====

Record 7
Density functional theory data (meta-GGA SCAN) for a crystal of BaCu3 relaxed with PBEsol.

The structure in POSCAR format:
```
BaCu3
1.0
-1.957 -1.163 2.298
-2.093 -0.964 -2.271
3.203 -6.104 -0.362
Ba Cu
1 3
Cartesian
0.000 0.000 0.000
-0.961 -3.091 -0.107
1.601 -3.052 -0.181
0.114 -5.140 -0.228
```

Computed properties:
The value obtained for the electronic total energy is -83.919 eV for the cell shown. The formation energy is 0.31 eV per atom. As for the total magnetization: 0.0 μB per cell.

=====

Record 8
Density functional theory data (meta-GGA SCAN) for a crystal of Al2Au3 relaxed with PBEsol.

The structure in POSCAR format:
```
Al2Au3
1.0
-1.851 -4.342 -0.314
4.131 -4.412 1.032
-2.332 -2.024 6.101
Au Al
6 4
Cartesian
1.128 -8.098 5.456
-0.816 -1.824 1.425
0.022 -3.724 4.947
1.216 -4.027 2.091
-1.693 -3.971 -0.287
-0.331 -6.104 3.358
-1.475 -5.665 5.703
0.899 -6.339 1.027
1.930 -5.744 4.534
-1.580 -4.090 2.354
```

Computed properties:
The value obtained for the electronic total energy is -450.743 eV for the cell shown. The formation energy is -0.48 eV per atom. As for the total magnetization: 0.0 μB per cell.

=====

- Among the records above, which one has the highest electronic total energy?
  Li3Sc

=====

- Which of these has the lowest electronic total energy?
  Al2Au3

=====

- Among the records above, which one has the lowest electronic total energy?
  Al2Au3

=====

Copy entry 2 word for word.
Density functional theory data (meta-GGA SCAN) for a crystal of MgCdW2 relaxed with PBEsol.

The structure in POSCAR format:
```
MgCdW2
1.0
2.719 0.000 0.000
0.000 2.719 0.000
0.000 0.000 9.171
Cd Mg W
1 1 2
Cartesian
1.359 1.359 0.000
1.359 1.359 4.585
0.000 0.000 6.858
0.000 0.000 2.313
```

Computed properties:
The value obtained for the electronic total energy is -172.375 eV for the cell shown. The formation energy is 0.60 eV per atom. As for the total magnetization: 0.0 μB per cell.